No. 1
YHfSe | Alexandria via LeMat-Bulk | PBE | optimized geometry; symmetry = Cm; formation energy from raw total energies = -88.4 kJ/mol of atoms; offset from the most stable computed form = 145 meV per atom; density of states at the Fermi level = 1.96 states/eV/f.u.
1.0
-0.492 -0.561 7.770
-3.424 -1.126 -0.298
3.348 -9.632 -2.069
Y Hf Se
4 4 4
Cartesian
0.562 -2.840 4.267
0.524 -8.219 3.084
-0.396 -0.818 7.633
-0.434 -6.197 6.450
1.590 -5.254 1.589
-1.796 -1.002 2.475
2.515 -7.756 0.405
-0.871 -3.503 1.290
2.030 -7.638 5.528
-1.355 -3.385 6.413
2.974 -9.723 2.572
-0.412 -5.470 3.457


No. 2
HfZnSe | Alexandria via LeMat-Bulk | PBE | optimized geometry; symmetry = R-3m; formation energy from raw total energies = -60.8 kJ/mol of atoms; density of states at the Fermi level = 1.21 states/eV/f.u.
1.0
4.154 0.000 0.000
2.077 3.598 0.000
2.077 1.199 9.012
Hf Se Zn
2 2 2
Cartesian
4.154 2.398 2.834
4.154 2.398 6.178
2.077 1.199 1.609
6.231 3.598 7.404
6.231 3.598 4.392
2.077 1.199 4.620


No. 3
Hf2Zn2Se | Alexandria via LeMat-Bulk | PBE | optimized geometry; symmetry = P4/mbm; formation energy from raw total energies = -37.6 kJ/mol of atoms; offset from the most stable computed form = 0 meV per atom; density of states at the Fermi level = 1.51 states/eV/f.u.
1.0
6.872 0.000 0.000
0.000 6.872 0.000
0.000 0.000 4.221
Zn Hf Se
4 4 2
Cartesian
0.933 4.369 2.110
4.369 5.938 2.110
5.938 2.502 2.110
2.502 0.933 2.110
2.334 5.770 0.000
5.770 4.538 0.000
4.538 1.102 0.000
1.102 2.334 0.000
0.000 0.000 0.000
3.436 3.436 0.000


No. 4
Hf2Zn2Se | Alexandria via LeMat-Bulk | PBE | optimized geometry; symmetry = I4/mmm; formation energy from raw total energies = 33.5 kJ/mol of atoms; offset from the most stable computed form = 737 meV per atom; density of states at the Fermi level = 4.20 states/eV/f.u.
1.0
4.388 0.000 0.000
0.000 4.388 0.000
2.194 2.194 5.604
Zn Hf Se
2 2 1
Cartesian
2.194 2.194 1.170
4.388 4.388 4.434
4.388 2.194 2.802
2.194 4.388 2.802
0.000 0.000 0.000


The records above yield total moment values of 0.0 0.0 0.0 0.0 μB/f.u., respectively.